AlFePO5 | PBE+U | relaxed

Unit cell a=7.225 b=10.650 c=5.560 alpha=90.00 beta=98.03 gamma=90.00
Space group P2_1/c (No. 14)
One atom of each set of equivalent atoms:
1 Al 0.142 0.174 0.445 x4
2 Fe 0.484 0.144 0.889 x4
3 P 0.277 0.597 0.071 x4
4 O 0.103 0.673 0.113 x4
5 O 0.218 0.018 0.405 x4
6 O 0.231 0.224 0.741 x4
7 O 0.379 0.548 0.319 x4
8 O 0.410 0.681 0.944 x4

Electronic total energy = -7.32 eV/atom
Volume = 13.2 Å³ per atom